{"formula": "Sc2TlAu", "functional": "PBE", "state": "optimized geometry", "formation_enthalpy_0k_ev_per_atom": -0.14, "sg": "R-3m, No. 166", "crystal_system": "trigonal", "lattice": [[2.031, 0.000, 9.845], [-1.015, 1.759, 9.845], [-1.015, -1.759, 9.845]], "species": ["Sc", "Sc", "Tl", "Au"], "frac_coords": [[0.898, 0.898, 0.898], [0.102, 0.102, 0.102], [0.000, 0.000, 0.000], [0.500, 0.500, 0.500]]}

{"formula": "Cs2SrMgBr6", "functional": "PBE", "state": "optimized geometry", "sg": "Fm-3m, No. 225", "crystal_system": "cubic", "lattice": [[8.086, 0.000, 0.000], [0.000, 8.086, 0.000], [4.043, 4.043, 5.717]], "species": ["Cs", "Cs", "Br", "Br", "Br", "Br", "Br", "Br", "Sr", "Mg"], "frac_coords": [[0.250, 0.750, 0.500], [0.750, 0.250, 0.500], [0.264, 0.264, 0.000], [0.264, 0.264, 0.472], [0.736, 0.736, 0.528], [0.264, 0.736, 0.000], [0.736, 0.264, 0.000], [0.736, 0.736, 0.000], [0.000, 0.000, 0.000], [0.500, 0.500, 0.000]]}

So what do the calculations give for raw total energy? Going down the list: -4.714, -3.310 eV/atom.